1.
SbTe2IrS, optimized geometry, DFT PBE-GGA; crystal system = tetragonal; space-group type = No. 123; energy relative to the lowest polymorph listed for this composition = 491 meV/atom; ΔE_f (raw) = 1.191 eV per atom
1.0
-1.6396 -4.2015 -2.2559
1.0535 -2.6457 4.1618
-4.7013 0.8914 1.7567
Sb S Ir Te
1 1 1 2
Cartesian
-2.3506 0.4457 0.8783 Sb
0.0000 0.0000 0.0000 S
-2.6437 -2.9779 1.8313 Ir
0.5267 -1.3228 2.0809 Te
-0.8198 -2.1007 -1.1279 Te

***

2.
SiPt2Rh, optimized geometry, DFT PBE-GGA; crystal system = orthorhombic; space-group type = No. 38; ΔE_f (raw) = -0.477 eV per atom
1.0
-1.2163 -3.3208 -0.9763
0.4273 -0.9390 2.6616
-5.0422 1.0503 2.7096
Pt Rh Si
2 1 1
Cartesian
-4.6329 0.2697 4.8549 Pt
-1.8483 -1.5565 0.7033 Pt
-2.5352 0.0703 2.9195 Rh
-3.7373 -1.8260 3.9739 Si

***

3.
LaIn2W, optimized geometry, DFT PBE-GGA; crystal system = trigonal; formation energy from the elements = 377 meV per atom; space-group type = No. 166; energy relative to the lowest polymorph listed for this composition = 117 meV/atom
1.0
10.7705 0.0010 0.0006
10.3059 3.1290 0.0006
10.3059 1.5305 2.7292
In La W
2 1 1
Cartesian
0.3057 0.0454 0.0266 In
15.3855 2.2849 1.3386 In
7.8456 1.1652 0.6826 La
23.5367 3.4955 2.0478 W

***

4.
Th6Sb3C, optimized geometry, DFT PBE-GGA; crystal system = monoclinic; space-group type = No. 14; ΔE_f (raw) = -0.542 eV per atom
1.0
6.6843 0.0000 -0.0463
0.0000 8.2678 0.0000
-0.0193 0.0000 10.6517
Th Sb C
12 6 2
Cartesian
4.3871 1.2770 10.0591 Th
4.1123 1.7730 5.8566 Th
4.2740 3.9292 2.9239 Th
2.3910 4.3387 7.6815 Th
2.5527 6.4948 4.7488 Th
2.2779 6.9909 0.5463 Th
1.0546 2.8570 4.7564 Th
0.7798 2.3609 0.5539 Th
0.9222 0.2048 8.2729 Th
5.7428 8.0631 2.3325 Th
5.8851 5.9069 10.0515 Th
5.6104 5.4109 5.8490 Th
3.8901 7.2583 7.8633 Sb
3.3421 4.1339 -0.0231 Sb
2.7748 1.0095 2.7421 Sb
0.5577 5.1434 2.5606 Sb
-0.0097 0.0000 5.3258 Sb
6.1073 3.1244 8.0448 Sb
3.3325 4.1339 5.3027 C
0.0000 0.0000 0.0000 C

***

We obtain E values of -17.44; -26.76; -21.85; -143.05 eV/cell for the records listed above, in that order.